[1]
First-principles (PBE-GGA) data for TbDyMg2Pb2 after structural relaxation, as listed in OQMD via LeMat-Bulk.

Cell lengths 4.446, 4.446, 16.021 Å; angles 90.00, 90.00, 90.00 degrees
Space group I4mm (No. 107)
Asymmetric unit:
Tb1 0.000 0.000 0.000 x2
Dy1 0.000 0.000 0.330 x2
Mg1 0.000 0.500 0.165 x4
Pb1 0.000 0.000 0.527 x2
Pb2 0.000 0.000 0.803 x2

Computed properties:
The electronic total energy comes out at -3.713 eV per atom.

[2]
First-principles (PBE-GGA) data for CuAg3 after structural relaxation, as listed in OQMD via LeMat-Bulk.

Cell lengths 4.923, 5.760, 4.959 Å; angles 90.00, 109.40, 90.00 degrees
Space group P2/c (No. 13)
Asymmetric unit:
Cu1 0.000 0.119 0.250 x2
Ag1 0.000 0.365 0.750 x2
Ag2 0.500 0.119 0.750 x2
Ag3 0.500 0.370 0.250 x2

Computed properties:
The formation energy comes out at 0.074 eV/atom.

What did the first record say?
First-principles (PBE-GGA) data for TbDyMg2Pb2 after structural relaxation, as listed in OQMD via LeMat-Bulk.

Cell lengths 4.446, 4.446, 16.021 Å; angles 90.00, 90.00, 90.00 degrees
Space group I4mm (No. 107)
Asymmetric unit:
Tb1 0.000 0.000 0.000 x2
Dy1 0.000 0.000 0.330 x2
Mg1 0.000 0.500 0.165 x4
Pb1 0.000 0.000 0.527 x2
Pb2 0.000 0.000 0.803 x2

Computed properties:
The electronic total energy comes out at -3.713 eV per atom.

Please write out number 2 again, unchanged.
First-principles (PBE-GGA) data for CuAg3 after structural relaxation, as listed in OQMD via LeMat-Bulk.

Cell lengths 4.923, 5.760, 4.959 Å; angles 90.00, 109.40, 90.00 degrees
Space group P2/c (No. 13)
Asymmetric unit:
Cu1 0.000 0.119 0.250 x2
Ag1 0.000 0.365 0.750 x2
Ag2 0.500 0.119 0.750 x2
Ag3 0.500 0.370 0.250 x2

Computed properties:
The formation energy comes out at 0.074 eV/atom.